1.
A plane-wave DFT calculation with PBE was carried out for a relaxed TaTiRu crystal.

The structure in POSCAR format:
```
TaTiRu
1.0
4.3800 0.0000 0.0000
-2.1900 3.7932 0.0000
0.0000 0.0000 2.8945
Ta Ti Ru
1 1 1
Direct
0.0000 0.0000 0.0000 Ta
0.3333 0.6667 0.3840 Ti
0.6667 0.3333 0.6913 Ru
```

Properties
symmetry = P3m1 (156)
offset from the most stable computed form = 0.0000 eV per atom
E = -29.92 eV/cell
E_form = -0.300 eV/atom

***

2.
A plane-wave DFT calculation with PBE was carried out for a relaxed Ho2ErAu crystal.

The structure in POSCAR format:
```
Ho2ErAu
1.0
6.9030 0.0000 0.0000
0.0000 9.6565 0.0000
0.0000 0.0000 6.6481
Ho Er Au
8 4 4
Direct
0.1994 0.0544 0.1972 Ho
0.1994 0.4456 0.1972 Ho
0.3006 0.5544 0.6972 Ho
0.3006 0.9456 0.6972 Ho
0.6994 0.0544 0.3028 Ho
0.6994 0.4456 0.3028 Ho
0.8006 0.5544 0.8028 Ho
0.8006 0.9456 0.8028 Ho
0.0142 0.2500 0.6147 Er
0.4858 0.7500 0.1147 Er
0.5142 0.2500 0.8853 Er
0.9858 0.7500 0.3853 Er
0.0833 0.7500 0.9648 Au
0.4167 0.2500 0.4648 Au
0.5833 0.7500 0.5352 Au
0.9167 0.2500 0.0352 Au
```

Properties
symmetry = Pnma (62)
offset from the most stable computed form = 0.0000 eV per atom
E = -75.28 eV/cell
E_form = -0.456 eV/atom

***

3.
A plane-wave DFT calculation with PBE was carried out for a relaxed NbTePd crystal.

The structure in POSCAR format:
```
NbTePd
1.0
5.3894 0.0000 0.0000
0.0000 4.4403 0.0000
0.0000 0.0000 10.1272
Nb Te Pd
4 4 4
Direct
0.0000 0.0000 0.0000 Nb
0.0000 0.5000 0.5000 Nb
0.5000 0.0000 0.1820 Nb
0.5000 0.5000 0.6820 Nb
0.0000 0.0000 0.2966 Te
0.0000 0.5000 0.7966 Te
0.5000 0.0000 0.8849 Te
0.5000 0.5000 0.3849 Te
0.2503 0.0000 0.5898 Pd
0.2503 0.5000 0.0898 Pd
0.7497 0.0000 0.5898 Pd
0.7497 0.5000 0.0898 Pd
```

Properties
energy relative to the elements, uncorrected = -72 meV/atom
symmetry = Amm2 (38)
E = -74.48 eV/cell

***

4.
A plane-wave DFT calculation with PBE was carried out for a relaxed PmSmIrRu crystal.

The structure in POSCAR format:
```
PmSmIrRu
1.0
6.9944 0.0000 0.0000
0.0000 6.9944 0.0000
0.0000 0.0000 6.9944
Pm Sm Ir Ru
4 4 4 4
Direct
0.0000 0.0000 0.0000 Pm
0.0000 0.5000 0.5000 Pm
0.5000 0.0000 0.5000 Pm
0.5000 0.5000 0.0000 Pm
0.0000 0.0000 0.5000 Sm
0.0000 0.5000 0.0000 Sm
0.5000 0.0000 0.0000 Sm
0.5000 0.5000 0.5000 Sm
0.2500 0.2500 0.2500 Ir
0.2500 0.7500 0.7500 Ir
0.7500 0.2500 0.7500 Ir
0.7500 0.7500 0.2500 Ir
0.2500 0.2500 0.7500 Ru
0.2500 0.7500 0.2500 Ru
0.7500 0.2500 0.2500 Ru
0.7500 0.7500 0.7500 Ru
```

Properties
symmetry = F-43m (216)
E = -116.69 eV/cell
E_form = -0.392 eV/atom

***

5.
A plane-wave DFT calculation with PBE was carried out for a relaxed Nd4DyCd crystal.

The structure in POSCAR format:
```
Nd4DyCd
1.0
4.4842 -7.2429 0.0000
4.4842 7.2429 0.0000
-2.1434 0.0000 6.0659
Nd Dy Cd
8 2 2
Direct
0.0932 0.7111 0.9539 Nd
0.1683 0.4045 0.6242 Nd
0.2889 0.9068 0.5461 Nd
0.4045 0.1683 0.1242 Nd
0.5955 0.8317 0.8758 Nd
0.7111 0.0932 0.4539 Nd
0.8317 0.5955 0.3758 Nd
0.9068 0.2889 0.0461 Nd
0.4122 0.5878 0.2500 Dy
0.5878 0.4122 0.7500 Dy
0.0011 0.9989 0.2500 Cd
0.9989 0.0011 0.7500 Cd
```

Properties
symmetry = C2/c (15)
offset from the most stable computed form = 0.0952 eV per atom
E = -49.17 eV/cell
E_form = 0.001 eV/atom

***

6.
A plane-wave DFT calculation with PBE was carried out for a relaxed TbNdDyY3 crystal.

The structure in POSCAR format:
```
TbNdDyY3
1.0
2.5320 -7.6018 0.0000
2.5320 7.6018 0.0000
0.0000 0.0000 10.1418
Tb Nd Dy Y
2 2 2 6
Direct
0.1662 0.8338 0.7500 Tb
0.8338 0.1662 0.2500 Tb
0.0000 0.0000 0.0000 Nd
0.0000 0.0000 0.5000 Nd
0.4995 0.5005 0.2500 Dy
0.5005 0.4995 0.7500 Dy
0.1666 0.8334 0.2500 Y
0.3329 0.6671 0.0000 Y
0.3329 0.6671 0.5000 Y
0.6671 0.3329 0.0000 Y
0.6671 0.3329 0.5000 Y
0.8334 0.1666 0.7500 Y
```

Properties
symmetry = Cmcm (63)
E = -66.54 eV/cell
E_form = 0.020 eV/atom

***

7.
A plane-wave DFT calculation with PBE was carried out for a relaxed UTe3 crystal.

The structure in POSCAR format:
```
UTe3
1.0
6.0481 0.0000 0.0000
0.0000 21.5700 0.0000
0.0000 0.0000 4.1899
U Te
4 12
Direct
0.0000 0.1735 0.2500 U
0.0000 0.8265 0.7500 U
0.5000 0.3265 0.7500 U
0.5000 0.6735 0.2500 U
0.0000 0.2796 0.7500 Te
0.0000 0.7204 0.2500 Te
0.2436 0.0913 0.7500 Te
0.2436 0.9087 0.2500 Te
0.2564 0.4087 0.2500 Te
0.2564 0.5913 0.7500 Te
0.5000 0.2204 0.2500 Te
0.5000 0.7796 0.7500 Te
0.7436 0.4087 0.2500 Te
0.7436 0.5913 0.7500 Te
0.7564 0.0913 0.7500 Te
0.7564 0.9087 0.2500 Te
```

Properties
energy relative to the elements, uncorrected = -532 meV/atom
symmetry = Cmcm (63)
E = -91.36 eV/cell

***

8.
A plane-wave DFT calculation with PBE was carried out for a relaxed La2ZnTc crystal.

The structure in POSCAR format:
```
La2ZnTc
1.0
3.6913 0.0000 0.0000
-1.8457 3.1968 0.0000
0.0000 0.0000 26.5160
La Zn Tc
6 3 3
Direct
0.0000 0.0000 0.0000 La
0.0000 0.0000 0.2091 La
0.3333 0.6667 0.6667 La
0.3333 0.6667 0.8757 La
0.6667 0.3333 0.3333 La
0.6667 0.3333 0.5424 La
0.0000 0.0000 0.4572 Zn
0.3333 0.6667 0.1239 Zn
0.6667 0.3333 0.7905 Zn
0.0000 0.0000 0.7374 Tc
0.3333 0.6667 0.4041 Tc
0.6667 0.3333 0.0708 Tc
```

Properties
symmetry = R3m (160)
E = -61.25 eV/cell
E_form = 0.269 eV/atom

***

9.
A plane-wave DFT calculation with PBE was carried out for a relaxed Y2ZnHPd crystal.

The structure in POSCAR format:
```
Y2ZnHPd
1.0
5.0029 0.0000 0.0000
0.0000 5.0029 0.0000
0.0000 0.0000 3.6799
Y Zn H Pd
2 1 1 1
Direct
0.0000 0.5000 0.0000 Y
0.5000 0.0000 0.0000 Y
0.0000 0.0000 0.5000 Zn
0.5000 0.5000 0.0000 H
0.5000 0.5000 0.5000 Pd
```

Properties
symmetry = P4/mmm (123)
offset from the most stable computed form = 0.0000 eV per atom
E = -25.56 eV/cell

***

10.
A plane-wave DFT calculation with PBE was carried out for a relaxed BaPr2Hg4 crystal.

The structure in POSCAR format:
```
BaPr2Hg4
1.0
5.5093 0.0000 0.0000
0.0000 5.5093 0.0000
0.0000 0.0000 7.5995
Ba Pr Hg
1 2 4
Direct
0.0000 0.0000 0.0000 Ba
0.0000 0.0000 0.5000 Pr
0.5000 0.5000 0.0000 Pr
0.0000 0.5000 0.2759 Hg
0.0000 0.5000 0.7241 Hg
0.5000 0.0000 0.2759 Hg
0.5000 0.0000 0.7241 Hg
```

Properties
symmetry = P4/mmm (123)
E = -14.47 eV/cell
E_form = -0.254 eV/atom

***

11.
A plane-wave DFT calculation with PBE was carried out for a relaxed YSc2HgC crystal.

The structure in POSCAR format:
```
YSc2HgC
1.0
4.5481 0.0000 0.0000
0.0000 4.5481 0.0000
0.0000 0.0000 4.9352
Y Sc Hg C
1 2 1 1
Direct
0.0000 0.0000 0.0000 Y
0.0000 0.5000 0.5000 Sc
0.5000 0.0000 0.5000 Sc
0.5000 0.5000 0.0000 Hg
0.0000 0.0000 0.5000 C
```

Properties
symmetry = P4/mmm (123)
E = -31.12 eV/cell
E_form = -0.493 eV/atom

***

12.
A plane-wave DFT calculation with PBE was carried out for a relaxed CoAg2Au crystal.

The structure in POSCAR format:
```
CoAg2Au
1.0
3.9664 0.0000 0.0000
0.0000 3.9664 0.0000
0.0000 0.0000 8.3104
Co Ag Au
2 4 2
Direct
0.0000 0.0000 0.0000 Co
0.5000 0.5000 0.5000 Co
0.0000 0.5000 0.2500 Ag
0.0000 0.5000 0.7500 Ag
0.5000 0.0000 0.2500 Ag
0.5000 0.0000 0.7500 Ag
0.0000 0.0000 0.5000 Au
0.5000 0.5000 0.0000 Au
```

Properties
symmetry = I4/mmm (139)
offset from the most stable computed form = 0.0926 eV per atom
E = -29.83 eV/cell
E_form = 0.293 eV/atom

***

13.
A plane-wave DFT calculation with PBE was carried out for a relaxed Nb8GaS2 crystal.

The structure in POSCAR format:
```
Nb8GaS2
1.0
6.9508 -2.6863 0.0000
6.9508 2.6863 0.0000
-0.2395 0.0000 5.0688
Nb Ga S
8 1 2
Direct
0.0868 0.0868 0.1144 Nb
0.1453 0.6506 0.3811 Nb
0.2894 0.2894 0.8606 Nb
0.3494 0.8547 0.6189 Nb
0.6506 0.1453 0.3811 Nb
0.7106 0.7106 0.1394 Nb
0.8547 0.3494 0.6189 Nb
0.9132 0.9132 0.8856 Nb
0.5000 0.5000 0.0000 Ga
0.2413 0.2413 0.3449 S
0.7587 0.7587 0.6551 S
```

Properties
energy relative to the elements, uncorrected = -212 meV/atom
symmetry = C2/m (12)
E = -94.17 eV/cell

***

14.
A plane-wave DFT calculation with PBE was carried out for a relaxed NiHg5 crystal.

The structure in POSCAR format:
```
NiHg5
1.0
3.0418 0.0000 0.0000
0.0000 21.7366 0.0000
0.0000 0.0000 4.4247
Ni Hg
2 10
Direct
0.0000 0.0000 0.0000 Ni
0.5000 0.5000 0.0000 Ni
0.0000 0.1875 0.5000 Hg
0.0000 0.3940 0.0000 Hg
0.0000 0.5000 0.5000 Hg
0.0000 0.6060 0.0000 Hg
0.0000 0.8125 0.5000 Hg
0.5000 0.0000 0.5000 Hg
0.5000 0.1060 0.0000 Hg
0.5000 0.3125 0.5000 Hg
0.5000 0.6875 0.5000 Hg
0.5000 0.8940 0.0000 Hg
```

Properties
symmetry = Cmmm (65)
E = -13.20 eV/cell
E_form = 0.115 eV/atom

***

15.
A plane-wave DFT calculation with PBE was carried out for a relaxed KPmSe2 crystal.

The structure in POSCAR format:
```
KPmSe2
1.0
3.7209 0.0000 0.0000
0.0000 3.7209 0.0000
0.0000 0.0000 7.9957
K Pm Se
1 1 2
Direct
0.0000 0.0000 0.0000 K
0.0000 0.0000 0.5000 Pm
0.5000 0.5000 0.2882 Se
0.5000 0.5000 0.7118 Se
```

Properties
energy relative to the elements, uncorrected = -1516 meV/atom
symmetry = P4/mmm (123)
E = -18.88 eV/cell

***

16.
A plane-wave DFT calculation with PBE was carried out for a relaxed U2As crystal.

The structure in POSCAR format:
```
U2As
1.0
13.1972 0.0000 0.0000
0.0000 3.6994 0.0000
-0.0050 0.0000 4.9435
U As
8 4
Direct
0.0920 0.0000 0.2503 U
0.2243 0.5000 0.2504 U
0.2757 0.0000 0.7496 U
0.4080 0.5000 0.7497 U
0.5920 0.5000 0.2503 U
0.7243 0.0000 0.2504 U
0.7757 0.5000 0.7496 U
0.9080 0.0000 0.7497 U
0.0942 0.5000 0.7504 As
0.4058 0.0000 0.2496 As
0.5942 0.0000 0.7504 As
0.9058 0.5000 0.2496 As
```

Properties
symmetry = C2/m (12)
E = -114.47 eV/cell
E_form = -0.464 eV/atom

***

17.
A plane-wave DFT calculation with PBE was carried out for a relaxed Ca2OsAu crystal.

The structure in POSCAR format:
```
Ca2OsAu
1.0
3.5424 0.0000 0.0000
0.0000 3.5424 0.0000
0.0000 0.0000 8.1884
Ca Os Au
2 1 1
Direct
0.0000 0.0000 0.0000 Ca
0.5000 0.5000 0.4129 Ca
0.0000 0.0000 0.6454 Os
0.5000 0.5000 0.7751 Au
```

Properties
symmetry = P4mm (99)
E = -17.45 eV/cell
E_form = 0.266 eV/atom

***

18.
A plane-wave DFT calculation with PBE was carried out for a relaxed Sm2Ga4CuIr3 crystal.

The structure in POSCAR format:
```
Sm2Ga4CuIr3
1.0
4.1578 0.0000 0.0000
0.0000 4.1578 0.0000
0.0000 0.0000 10.7124
Sm Ga Cu Ir
2 4 1 3
Direct
0.0000 0.5000 0.2497 Sm
0.5000 0.0000 0.7503 Sm
0.0000 0.0000 0.0000 Ga
0.0000 0.5000 0.6289 Ga
0.5000 0.0000 0.3711 Ga
0.5000 0.5000 0.0000 Ga
0.0000 0.0000 0.5000 Cu
0.0000 0.5000 0.8626 Ir
0.5000 0.0000 0.1374 Ir
0.5000 0.5000 0.5000 Ir
```

Properties
symmetry = P-4m2 (115)
E = -58.41 eV/cell
E_form = -0.619 eV/atom

***

19.
A plane-wave DFT calculation with PBE was carried out for a relaxed ZrSc2Cl crystal.

The structure in POSCAR format:
```
ZrSc2Cl
1.0
3.1733 0.0000 0.0000
0.0000 5.2296 0.0000
0.0000 0.0000 5.3877
Zr Sc Cl
1 2 1
Direct
0.0000 0.0000 0.0000 Zr
0.0000 0.5000 0.5000 Sc
0.5000 0.5000 0.0000 Sc
0.5000 0.0000 0.5000 Cl
```

Properties
energy relative to the elements, uncorrected = -74 meV/atom
symmetry = Pmmm (47)
offset from the most stable computed form = 0.5596 eV per atom
E = -23.35 eV/cell

***

20.
A plane-wave DFT calculation with PBE was carried out for a relaxed TbHgBi2 crystal.

The structure in POSCAR format:
```
TbHgBi2
1.0
4.2519 0.0000 0.0000
0.0000 4.2519 0.0000
0.0000 0.0000 6.5891
Tb Hg Bi
1 1 2
Direct
0.0000 0.0000 0.0000 Tb
0.0000 0.0000 0.5000 Hg
0.5000 0.5000 0.2323 Bi
0.5000 0.5000 0.7677 Bi
```

Properties
symmetry = P4/mmm (123)
offset from the most stable computed form = 0.0000 eV per atom
E = -14.23 eV/cell
E_form = -0.384 eV/atom